Record 1
Density functional theory data (PBE) for crystalline Mn3Ag at its relaxed geometry.

a b c (Å): 5.361 5.361 5.361
angles (deg): 149.11 127.12 62.51
Site moments in Bohr magnetons follow the coordinates.
Sites, in units of the cell vectors:
Mn1 0.496 0.500 0.996  3.56
Mn2 0.088 0.751 0.337  3.53
Mn3 0.585 0.249 0.337  3.53
Ag1 0.996 0.000 0.996  0.06

Properties
**DOS(E_F)**: 0.816 states/eV/atom
**Total magnetization**: 11.11 μB per cell
**E_form**: 497.5 meV/atom

Record 2
Density functional theory data (PBE) for crystalline NbTc2H at its relaxed geometry.

a b c (Å): 2.851 2.851 7.525
angles (deg): 79.08 79.08 60.00
Sites, in units of the cell vectors:
Tc1 0.116 0.116 0.653
Tc2 0.884 0.884 0.347
H1 0.500 0.500 0.500
Nb1 0.000 0.000 0.000

Properties
**DOS(E_F)**: 0.995 states/eV/atom
**Total magnetization**: 0.00 μB per cell
**Final energy**: -32.62 eV/cell

Record 3
Density functional theory data (PBE) for crystalline Cd12Bi5Pb3 at its relaxed geometry.

a b c (Å): 15.107 15.107 15.107
angles (deg): 109.47 109.47 109.47
Sites, in units of the cell vectors:
Cd1 0.102 0.172 0.233
Cd2 0.869 0.602 0.930
Cd3 0.398 0.131 0.570
Cd4 0.062 0.430 0.828
Cd5 0.131 0.398 0.070
Cd6 0.733 0.131 0.062
Cd7 0.430 0.369 0.602
Cd8 0.828 0.930 0.062
Cd9 0.398 0.267 0.328
Cd10 0.562 0.233 0.131
Cd11 0.930 0.828 0.562
Cd12 0.070 0.172 0.438
Cd13 0.430 0.062 0.328
Cd14 0.767 0.328 0.898
Cd15 0.369 0.938 0.767
Cd16 0.070 0.898 0.131
Cd17 0.733 0.602 0.172
Cd18 0.570 0.938 0.672
Cd19 0.828 0.898 0.267
Cd20 0.672 0.438 0.570
Cd21 0.631 0.062 0.233
Cd22 0.369 0.430 0.102
Cd23 0.938 0.570 0.172
Cd24 0.172 0.070 0.938
Cd25 0.267 0.869 0.938
Cd26 0.938 0.369 0.267
Cd27 0.267 0.398 0.828
Cd28 0.233 0.562 0.631
Cd29 0.062 0.631 0.733
Cd30 0.172 0.102 0.733
Cd31 0.131 0.733 0.562
Cd32 0.631 0.570 0.898
Cd33 0.570 0.631 0.398
Cd34 0.233 0.672 0.102
Cd35 0.602 0.733 0.672
Cd36 0.328 0.562 0.430
Cd37 0.328 0.767 0.398
Cd38 0.438 0.767 0.869
Cd39 0.898 0.828 0.767
Cd40 0.602 0.869 0.430
Cd41 0.930 0.102 0.869
Cd42 0.672 0.233 0.602
Cd43 0.869 0.267 0.438
Cd44 0.562 0.328 0.930
Cd45 0.102 0.930 0.369
Cd46 0.438 0.672 0.070
Cd47 0.767 0.438 0.369
Cd48 0.898 0.070 0.631
Pb1 0.250 0.625 0.875
Pb2 0.125 0.250 0.875
Pb3 0.250 0.125 0.375
Pb4 0.625 0.250 0.375
Pb5 0.875 0.750 0.125
Pb6 0.375 0.750 0.625
Pb7 0.375 0.625 0.250
Pb8 0.125 0.875 0.750
Pb9 0.625 0.375 0.750
Pb10 0.750 0.375 0.125
Pb11 0.750 0.875 0.625
Pb12 0.875 0.125 0.250
Bi1 0.750 0.625 0.375
Bi2 0.125 0.375 0.250
Bi3 0.500 0.500 0.500
Bi4 0.250 0.375 0.625
Bi5 0.875 0.250 0.625
Bi6 0.375 0.250 0.125
Bi7 0.875 0.625 0.750
Bi8 0.000 0.000 0.000
Bi9 0.375 0.125 0.750
Bi10 0.500 0.500 0.000
Bi11 0.750 0.125 0.875
Bi12 0.500 0.000 0.500
Bi13 0.125 0.750 0.375
Bi14 0.000 0.500 0.000
Bi15 0.625 0.875 0.250
Bi16 0.000 0.000 0.500
Bi17 0.625 0.750 0.875
Bi18 0.500 0.000 0.000
Bi19 0.000 0.500 0.500
Bi20 0.250 0.875 0.125

Properties
**DOS(E_F)**: 0.352 states/eV/atom
**Total magnetization**: 0.00 μB per cell
**E_form**: 133.8 meV/atom

Record 4
Density functional theory data (PBE) for crystalline La2Ni4Ge3Ir at its relaxed geometry.

a b c (Å): 4.162 4.162 10.007
angles (deg): 90.00 90.00 90.00
Sites, in units of the cell vectors:
Ni1 0.500 0.500 0.000
Ni2 0.000 0.000 0.000
Ni3 0.500 0.000 0.636
Ni4 0.000 0.500 0.364
Ge1 0.000 0.500 0.122
Ge2 0.000 0.000 0.500
Ge3 0.500 0.000 0.878
La1 0.000 0.500 0.748
La2 0.500 0.000 0.252
Ir1 0.500 0.500 0.500

Properties
**DOS(E_F)**: 1.000 states/eV/atom
**Total magnetization**: 0.00 μB per cell
**E_form**: -582.7 meV/atom

> Which value of total magnetization does entry 4 give?

0.00 μB per cell

> Look up the total magnetization of the third one.

0.00 μB per cell